Entry 1:
A plane-wave DFT calculation with PBE-GGA was carried out for a relaxed structure of EuDyCuHg.

Results
Total DFT energy (no corrections)   -20.4 eV/cell
Symmetry   F-43m (216)
Formation energy   -0.2741 eV per atom
Size of the total moment   1.79 μB/atom

Lattice parameters (Å, degrees): 5.2151 5.2151 5.2151 60.00 60.00 60.00
Last column: nearest neighbours and their distance in Å.
Fractional coordinates of all 4 atoms:
Eu 0.0000 0.0000 0.0000  4 Hg 3.19, 4 Cu 3.19
Dy 0.5000 0.5000 0.5000  4 Hg 3.19, 4 Cu 3.19
Cu 0.7500 0.7500 0.7500  4 Dy 3.19, 4 Eu 3.19
Hg 0.2500 0.2500 0.2500  4 Dy 3.19, 4 Eu 3.19

=====

Entry 2:
A plane-wave DFT calculation with PBE-GGA was carried out for a relaxed structure of Er2TmSc3P6.

Results
Total DFT energy (no corrections)   -83.5 eV/cell
Symmetry   C2/m (12)
Formation energy   -1.5397 eV per atom
Size of the total moment   0.00 μB/atom

Lattice parameters (Å, degrees): 6.6916 6.6916 6.6748 99.61 99.61 120.00
Last column: nearest neighbours and their distance in Å.
Fractional coordinates of all 12 atoms:
Er 0.1666 0.8334 0.0000  6 P 2.78
Er 0.8334 0.1666 0.0000  6 P 2.78
Tm 0.5000 0.5000 0.0000  6 P 2.77
Sc 0.0000 0.0000 0.5000  6 P 2.68-2.69
Sc 0.3331 0.6669 0.5000  6 P 2.68-2.69
Sc 0.6669 0.3331 0.5000  6 P 2.68-2.69
P 0.0800 0.4126 0.7376  3 Sc 2.68-2.69, 1 Tm 2.77, 2 Er 2.78
P 0.2550 0.2550 0.2626  3 Sc 2.68-2.69, 1 Tm 2.77, 2 Er 2.78
P 0.4126 0.0800 0.7376  3 Sc 2.68-2.69, 1 Tm 2.77, 2 Er 2.78
P 0.5874 0.9200 0.2624  3 Sc 2.68-2.69, 1 Tm 2.77, 2 Er 2.78
P 0.7450 0.7450 0.7375  3 Sc 2.68-2.69, 1 Tm 2.77, 2 Er 2.78
P 0.9200 0.5874 0.2624  3 Sc 2.68-2.69, 1 Tm 2.77, 2 Er 2.78

=====

Entry 3:
A plane-wave DFT calculation with PBE-GGA was carried out for a relaxed structure of La3NO2.

Results
Total DFT energy (no corrections)   -46.3 eV/cell
Offset from the most stable computed form   1.18 eV per formula unit
Energy relative to the elements, uncorrected   -2.20 eV/atom
Symmetry   Imm2 (44)
Size of the total moment   0.30 μB/atom

Lattice parameters (Å, degrees): 6.9186 6.9186 6.9186 146.64 60.30 131.31
Last column: nearest neighbours and their distance in Å.
Fractional coordinates of all 6 atoms:
La 0.0000 0.0000 0.0000  2 N 2.39, 2 O 2.49
La 0.3665 0.0386 0.3280  3 O 2.42-2.48, 1 N 2.43
La 0.7106 0.0386 0.6720  3 O 2.42-2.48, 1 N 2.43
N 0.7654 0.2654 0.5000  4 La 2.39-2.43
O 0.1170 0.2778 0.8392  4 La 2.42-2.49
O 0.4386 0.2778 0.1608  4 La 2.42-2.49